Computed, not measured: a geometry-optimized CdGaTeN2 structure at the PBE-GGA level of DFT. Values from VASP.

Energy above the lowest structure with this stoichiometry   2.17 eV/f.u.

Geometry as Quantum ESPRESSO input:
```
&SYSTEM
  ibrav = 0, nat = 5, ntyp = 4
/
ATOMIC_SPECIES
Cd 112.41 Cd.upf
Ga 69.72 Ga.upf
Te 127.60 Te.upf
N 14.01 N.upf
CELL_PARAMETERS angstrom
4.320 0.000 0.000
0.000 4.320 0.000
0.000 0.000 6.423
ATOMIC_POSITIONS crystal
Cd 0.000 0.000 0.000
Ga 0.500 0.500 0.500
Te 0.000 0.000 0.500
N 0.000 0.500 0.000
N 0.500 0.000 0.000
```

---

Computed, not measured: a geometry-optimized ScSe3 structure at the PBE-GGA level of DFT. Values from VASP.

Energy   -4.7524 eV per atom

Geometry as Quantum ESPRESSO input:
```
&SYSTEM
  ibrav = 0, nat = 4, ntyp = 2
/
ATOMIC_SPECIES
Sc 44.96 Sc.upf
Se 78.96 Se.upf
CELL_PARAMETERS angstrom
3.918 0.000 0.000
-1.959 3.393 0.000
0.000 0.000 7.166
ATOMIC_POSITIONS crystal
Sc 0.000 0.000 0.000
Se 0.000 0.000 0.500
Se 0.667 0.333 0.208
Se 0.667 0.333 0.792
```

---

Computed, not measured: a geometry-optimized CsCd3Rh structure at the PBE-GGA level of DFT. Values from VASP.

Energy above the lowest structure with this stoichiometry   0.58 eV/f.u.
Formation energy from the elements   0.0189 eV/atom

Geometry as Quantum ESPRESSO input:
```
&SYSTEM
  ibrav = 0, nat = 20, ntyp = 3
/
ATOMIC_SPECIES
Cs 132.91 Cs.upf
Cd 112.41 Cd.upf
Rh 102.91 Rh.upf
CELL_PARAMETERS angstrom
0.000 7.255 7.255
7.255 0.000 7.255
7.255 7.255 0.000
ATOMIC_POSITIONS crystal
Cs 0.000 0.000 0.000
Cs 0.000 0.000 0.500
Cs 0.000 0.500 0.000
Cs 0.500 0.000 0.000
Cd 0.207 0.207 0.543
Cd 0.207 0.543 0.207
Cd 0.207 0.543 0.543
Cd 0.457 0.457 0.793
Cd 0.457 0.793 0.457
Cd 0.457 0.793 0.793
Cd 0.543 0.207 0.207
Cd 0.543 0.207 0.543
Cd 0.543 0.543 0.207
Cd 0.793 0.457 0.457
Cd 0.793 0.457 0.793
Cd 0.793 0.793 0.457
Rh 0.000 0.500 0.500
Rh 0.500 0.000 0.500
Rh 0.500 0.500 0.000
Rh 0.500 0.500 0.500
```

---

Computed, not measured: a geometry-optimized Lu2SbPb structure at the PBE-GGA level of DFT. Values from VASP.

Energy above the lowest structure with this stoichiometry   0.00 eV/f.u.

Geometry as Quantum ESPRESSO input:
```
&SYSTEM
  ibrav = 0, nat = 12, ntyp = 3
/
ATOMIC_SPECIES
Lu 174.97 Lu.upf
Sb 121.76 Sb.upf
Pb 207.20 Pb.upf
CELL_PARAMETERS angstrom
4.174 0.000 0.000
-2.087 3.614 0.000
0.000 0.000 23.042
ATOMIC_POSITIONS crystal
Lu 0.000 0.000 0.245
Lu 0.000 0.000 0.755
Lu 0.333 0.667 0.422
Lu 0.333 0.667 0.912
Lu 0.667 0.333 0.088
Lu 0.667 0.333 0.578
Sb 0.000 0.000 0.500
Sb 0.333 0.667 0.167
Sb 0.667 0.333 0.833
Pb 0.000 0.000 0.000
Pb 0.333 0.667 0.667
Pb 0.667 0.333 0.333
```

---

Computed, not measured: a geometry-optimized La3YTl2 structure at the PBE-GGA level of DFT. Values from VASP.

Energy above the lowest structure with this stoichiometry   0.18 eV/f.u.
Formation energy from the elements   -0.2705 eV/atom

Geometry as Quantum ESPRESSO input:
```
&SYSTEM
  ibrav = 0, nat = 12, ntyp = 3
/
ATOMIC_SPECIES
La 138.91 La.upf
Y 88.91 Y.upf
Tl 204.38 Tl.upf
CELL_PARAMETERS angstrom
-3.429 8.612 3.413
3.429 -8.612 3.413
3.429 8.612 -3.413
ATOMIC_POSITIONS crystal
La 0.177 0.250 0.427
La 0.250 0.250 0.000
La 0.323 0.750 0.072
La 0.677 0.250 0.928
La 0.750 0.750 0.000
La 0.823 0.750 0.573
Y 0.250 0.750 0.500
Y 0.750 0.250 0.500
Tl 0.133 0.739 0.872
Tl 0.367 0.239 0.606
Tl 0.633 0.761 0.394
Tl 0.867 0.261 0.128
```

---

Computed, not measured: a geometry-optimized SrLiS2N structure at the PBE-GGA level of DFT. Values from VASP.

Energy above the lowest structure with this stoichiometry   0.00 eV/f.u.

Geometry as Quantum ESPRESSO input:
```
&SYSTEM
  ibrav = 0, nat = 5, ntyp = 4
/
ATOMIC_SPECIES
Sr 87.62 Sr.upf
Li 6.94 Li.upf
S 32.06 S.upf
N 14.01 N.upf
CELL_PARAMETERS angstrom
4.732 0.000 0.000
0.000 4.732 0.000
0.000 0.000 4.246
ATOMIC_POSITIONS crystal
Sr 0.000 0.000 0.000
Li 0.500 0.500 0.500
S 0.000 0.500 0.500
S 0.500 0.000 0.500
N 0.500 0.500 0.000
```

---

Computed, not measured: a geometry-optimized BP2N structure at the PBE-GGA level of DFT. Values from VASP.

Energy above the lowest structure with this stoichiometry   0.00 eV/f.u.

Geometry as Quantum ESPRESSO input:
```
&SYSTEM
  ibrav = 0, nat = 16, ntyp = 3
/
ATOMIC_SPECIES
B 10.81 B.upf
P 30.97 P.upf
N 14.01 N.upf
CELL_PARAMETERS angstrom
4.365 0.000 0.000
0.000 4.365 0.000
0.000 0.000 9.673
ATOMIC_POSITIONS crystal
B 0.000 0.000 0.000
B 0.000 0.500 0.250
B 0.500 0.000 0.750
B 0.500 0.500 0.500
P 0.247 0.250 0.125
P 0.250 0.747 0.375
P 0.250 0.753 0.875
P 0.253 0.250 0.625
P 0.747 0.750 0.625
P 0.750 0.247 0.875
P 0.750 0.253 0.375
P 0.753 0.750 0.125
N 0.000 0.000 0.500
N 0.000 0.500 0.750
N 0.500 0.000 0.250
N 0.500 0.500 0.000
```

---

Computed, not measured: a geometry-optimized NaTl structure at the PBE-GGA level of DFT. Values from VASP.

Formation energy from the elements   0.2455 eV/atom

Geometry as Quantum ESPRESSO input:
```
&SYSTEM
  ibrav = 0, nat = 4, ntyp = 2
/
ATOMIC_SPECIES
Na 22.99 Na.upf
Tl 204.38 Tl.upf
CELL_PARAMETERS angstrom
5.414 0.000 0.000
-2.707 4.689 0.000
0.000 0.000 6.322
ATOMIC_POSITIONS crystal
Na 0.333 0.667 0.250
Na 0.667 0.333 0.750
Tl 0.333 0.667 0.750
Tl 0.667 0.333 0.250
```

---

Computed, not measured: a geometry-optimized KCaCo structure at the PBE-GGA level of DFT. Values from VASP.

Formation energy from the elements   1.3152 eV/atom

Geometry as Quantum ESPRESSO input:
```
&SYSTEM
  ibrav = 0, nat = 12, ntyp = 3
/
ATOMIC_SPECIES
K 39.10 K.upf
Ca 40.08 Ca.upf
Co 58.93 Co.upf
CELL_PARAMETERS angstrom
7.406 0.000 0.000
0.000 7.406 0.000
0.000 0.000 7.406
ATOMIC_POSITIONS crystal
K 0.000 0.000 0.000
K 0.000 0.500 0.500
K 0.500 0.000 0.500
K 0.500 0.500 0.000
Ca 0.250 0.250 0.250
Ca 0.250 0.750 0.750
Ca 0.750 0.250 0.750
Ca 0.750 0.750 0.250
Co 0.250 0.250 0.750
Co 0.250 0.750 0.250
Co 0.750 0.250 0.250
Co 0.750 0.750 0.750
```

---

Computed, not measured: a geometry-optimized HfVSb structure at the PBE-GGA level of DFT. Values from VASP.

Energy   -7.6635 eV per atom

Geometry as Quantum ESPRESSO input:
```
&SYSTEM
  ibrav = 0, nat = 3, ntyp = 3
/
ATOMIC_SPECIES
Hf 178.49 Hf.upf
V 50.94 V.upf
Sb 121.76 Sb.upf
CELL_PARAMETERS angstrom
4.601 0.000 0.000
-2.301 3.985 0.000
0.000 0.000 3.278
ATOMIC_POSITIONS crystal
Hf 0.000 0.000 0.000
V 0.667 0.333 0.500
Sb 0.333 0.667 0.500
```

---

Computed, not measured: a geometry-optimized Pm2Ag3Hg3 structure at the PBE-GGA level of DFT. Values from VASP.

Formation energy from the elements   -0.3119 eV/atom

Geometry as Quantum ESPRESSO input:
```
&SYSTEM
  ibrav = 0, nat = 8, ntyp = 3
/
ATOMIC_SPECIES
Pm 145.00 Pm.upf
Ag 107.87 Ag.upf
Hg 200.59 Hg.upf
CELL_PARAMETERS angstrom
2.536 1.464 8.260
-2.536 1.464 8.260
0.000 -2.929 8.260
ATOMIC_POSITIONS crystal
Pm 0.000 0.000 0.000
Pm 0.499 0.499 0.499
Ag 0.251 0.251 0.251
Ag 0.374 0.374 0.374
Ag 0.748 0.748 0.748
Hg 0.124 0.124 0.124
Hg 0.625 0.625 0.625
Hg 0.874 0.874 0.874
```

---

Computed, not measured: a geometry-optimized BeCr3Ga structure at the PBE-GGA level of DFT. Values from VASP.

Energy above the lowest structure with this stoichiometry   3.95 eV/f.u.
Formation energy from the elements   1.4988 eV/atom

Geometry as Quantum ESPRESSO input:
```
&SYSTEM
  ibrav = 0, nat = 5, ntyp = 3
/
ATOMIC_SPECIES
Be 9.01 Be.upf
Cr 52.00 Cr.upf
Ga 69.72 Ga.upf
CELL_PARAMETERS angstrom
4.651 0.000 0.000
0.000 4.651 0.000
0.000 0.000 4.651
ATOMIC_POSITIONS crystal
Be 0.000 0.000 0.000
Cr 0.000 0.500 0.500
Cr 0.500 0.000 0.500
Cr 0.500 0.500 0.000
Ga 0.500 0.500 0.500
```

---

Computed, not measured: a geometry-optimized RbCd2In structure at the PBE-GGA level of DFT. Values from VASP.

Formation energy from the elements   -0.0482 eV/atom

Geometry as Quantum ESPRESSO input:
```
&SYSTEM
  ibrav = 0, nat = 16, ntyp = 3
/
ATOMIC_SPECIES
Rb 85.47 Rb.upf
Cd 112.41 Cd.upf
In 114.82 In.upf
CELL_PARAMETERS angstrom
8.191 0.000 0.000
0.000 5.246 0.000
0.000 0.000 11.707
ATOMIC_POSITIONS crystal
Rb 0.217 0.250 0.185
Rb 0.283 0.750 0.685
Rb 0.717 0.250 0.315
Rb 0.783 0.750 0.815
Cd 0.085 0.250 0.872
Cd 0.221 0.750 0.978
Cd 0.279 0.250 0.478
Cd 0.415 0.750 0.372
Cd 0.585 0.250 0.628
Cd 0.721 0.750 0.522
Cd 0.779 0.250 0.022
Cd 0.915 0.750 0.128
In 0.041 0.750 0.403
In 0.459 0.250 0.903
In 0.541 0.750 0.097
In 0.959 0.250 0.597
```

---

Computed, not measured: a geometry-optimized RhF structure at the PBE-GGA level of DFT. Values from VASP.

Energy above the lowest structure with this stoichiometry   0.97 eV/f.u.

Geometry as Quantum ESPRESSO input:
```
&SYSTEM
  ibrav = 0, nat = 8, ntyp = 2
/
ATOMIC_SPECIES
Rh 102.91 Rh.upf
F 19.00 F.upf
CELL_PARAMETERS angstrom
7.295 0.000 0.000
0.000 7.295 0.000
0.000 0.000 2.726
ATOMIC_POSITIONS crystal
Rh 0.112 0.112 0.000
Rh 0.388 0.612 0.500
Rh 0.612 0.388 0.500
Rh 0.888 0.888 0.000
F 0.208 0.792 0.000
F 0.292 0.292 0.500
F 0.708 0.708 0.500
F 0.792 0.208 0.000
```